A plane-wave DFT calculation with PBE with a Hubbard U was carried out for a relaxed structure of K3MnTl3O8.

The structure in POSCAR format:
```
K3MnTl3O8
1.0
3.364 1.942 6.284
-3.364 1.942 6.284
0.000 -3.884 6.284
K Mn Tl O
3 1 3 8
Direct
0.000 0.500 0.500 K
0.500 0.000 0.500 K
0.500 0.500 0.000 K
0.500 0.500 0.500 Mn
0.000 0.000 0.500 Tl
0.000 0.500 0.000 Tl
0.500 0.000 0.000 Tl
0.231 0.231 0.231 O
0.271 0.702 0.702 O
0.298 0.298 0.729 O
0.298 0.729 0.298 O
0.702 0.271 0.702 O
0.702 0.702 0.271 O
0.729 0.298 0.298 O
0.769 0.769 0.769 O
```

**Uncorrected energy**: -4.94 eV per atom
**M_tot**: 2.95 μB per formula unit
**V**: 16.42 Å³/atom
**SG**: R-3m (166)